The following is a GGA-PBE calculation of KBC after structural relaxation, from Alexandria via LeMat-Bulk.

```
KBC
1.0
-4.348 1.225 -3.312
-1.243 -2.681 1.097
-0.700 1.617 5.940
C K B
2 2 2
Direct
0.355 0.980 0.626
0.658 0.715 0.748
0.887 0.461 0.352
0.220 0.414 0.960
0.461 0.852 0.457
0.615 0.204 0.764
```

symmetry: P1
formation energy from the elements: 0.649 eV/atom
density of states at the Fermi level: 0.00 states/eV per atom
volume: 16.32 Å³ per atom
ρ: 2.1 Mg/m³
VASP energy: -5.02 eV/atom